# 1
DFT (PBE) results for a relaxed structure of Na2Sr5Hg2.

total energy	-54.2	eV for the cell shown
N(E_F)	6.80	states/eV/f.u.
volume	42.59	Å³/atom

Cell and atoms, written as CIF:
```
data_Na2Sr5Hg2
_cell_length_a 19.6438
_cell_length_b 8.8019
_cell_length_c 8.8667
_cell_angle_alpha 90.00
_cell_angle_beta 90.00
_cell_angle_gamma 90.00
_symmetry_space_group_name_H-M 'C m c e'
_symmetry_Int_Tables_number 64
_symmetry_space_group_name_Hall '-C 2ac 2'
loop_
_atom_site_label
_atom_site_type_symbol
_atom_site_fract_x
_atom_site_fract_y
_atom_site_fract_z
Na1 Na 0.2236 0.0000 0.0000
Sr1 Sr 0.0000 0.0000 0.0000
Sr2 Sr 0.1164 0.1719 0.3275
Hg1 Hg 0.0000 0.1282 0.6291
```


# 2
DFT (PBE) results for a relaxed structure of Pr6Dy2Hg.

total energy	-39.0	eV for the cell shown
N(E_F)	12.28	states/eV/f.u.
volume	33.93	Å³/atom

Cell and atoms, written as CIF:
```
data_Pr6Dy2Hg
_cell_length_a 9.7361
_cell_length_b 9.7361
_cell_length_c 3.7192
_cell_angle_alpha 90.00
_cell_angle_beta 90.00
_cell_angle_gamma 120.00
_symmetry_space_group_name_H-M 'P -6 2 m'
_symmetry_Int_Tables_number 189
_symmetry_space_group_name_Hall 'P -6 -2'
loop_
_atom_site_label
_atom_site_type_symbol
_atom_site_fract_x
_atom_site_fract_y
_atom_site_fract_z
Pr1 Pr 0.0000 0.3788 0.0000
Pr2 Pr 0.0000 0.7259 0.5000
Dy1 Dy 0.3333 0.6667 0.5000
Hg1 Hg 0.0000 0.0000 0.0000
```


# 3
DFT (PBE) results for a relaxed structure of Fe2PtRh.

total energy	-30.5	eV for the cell shown
N(E_F)	5.07	states/eV/f.u.
volume	13.77	Å³/atom

Cell and atoms, written as CIF:
```
data_Fe2PtRh
_cell_length_a 2.6987
_cell_length_b 4.0824
_cell_length_c 5.1728
_cell_angle_alpha 90.00
_cell_angle_beta 104.93
_cell_angle_gamma 90.00
_symmetry_space_group_name_H-M 'P 1 m 1'
_symmetry_Int_Tables_number 6
loop_
_symmetry_equiv_pos_as_xyz
'x,y,z'
'x,-y,z'
loop_
_atom_site_label
_atom_site_type_symbol
_atom_site_fract_x
_atom_site_fract_y
_atom_site_fract_z
Fe1 Fe 0.0000 0.0000 0.0000
Fe2 Fe 0.1140 0.5000 0.2798
Pt1 Pt 0.7220 0.0000 0.4791
Rh1 Rh 0.3948 0.5000 0.8077
```


# 4
DFT (PBE) results for a relaxed structure of TlCuPb2.

total energy	-26.5	eV for the cell shown
N(E_F)	1.54	states/eV/f.u.
volume	29.03	Å³/atom

Cell and atoms, written as CIF:
```
data_TlCuPb2
_cell_length_a 7.8433
_cell_length_b 4.4918
_cell_length_c 7.0673
_cell_angle_alpha 90.00
_cell_angle_beta 111.14
_cell_angle_gamma 90.00
_symmetry_space_group_name_H-M 'C 1 2/m 1'
_symmetry_Int_Tables_number 12
loop_
_symmetry_equiv_pos_as_xyz
'x,y,z'
'-x,-y,-z'
'-x,y,-z'
'x,-y,z'
'x+1/2,y+1/2,z'
'-x+1/2,-y+1/2,-z'
'-x+1/2,y+1/2,-z'
'x+1/2,-y+1/2,z'
loop_
_atom_site_label
_atom_site_type_symbol
_atom_site_fract_x
_atom_site_fract_y
_atom_site_fract_z
Tl1 Tl 0.0000 0.0000 0.0000
Cu1 Cu 0.0000 0.5000 0.5000
Pb1 Pb 0.2201 0.0000 0.6635
```


# 5
DFT (PBE) results for a relaxed structure of YHg2Sb.

formation energy from raw total energies	-8.70	kcal/mol of atoms
N(E_F)	1.91	states/eV/f.u.
volume	27.24	Å³/atom

Cell and atoms, written as CIF:
```
data_YHg2Sb
_cell_length_a 4.1371
_cell_length_b 4.1371
_cell_length_c 6.3654
_cell_angle_alpha 90.00
_cell_angle_beta 90.00
_cell_angle_gamma 90.00
_symmetry_space_group_name_H-M 'P 4 m m'
_symmetry_Int_Tables_number 99
loop_
_symmetry_equiv_pos_as_xyz
'x,y,z'
'-y,x,z'
'-x,-y,z'
'y,-x,z'
'-x,y,z'
'y,x,z'
'x,-y,z'
'-y,-x,z'
loop_
_atom_site_label
_atom_site_type_symbol
_atom_site_fract_x
_atom_site_fract_y
_atom_site_fract_z
Y1 Y 0.0000 0.0000 0.0000
Hg1 Hg 0.0000 0.0000 0.5017
Hg2 Hg 0.5000 0.5000 0.3223
Sb1 Sb 0.5000 0.5000 0.8323
```


# 6
DFT (PBE) results for a relaxed structure of DyGaPb2.

total energy	-16.3	eV for the cell shown
N(E_F)	1.71	states/eV/f.u.
volume	26.11	Å³/atom

Cell and atoms, written as CIF:
```
data_DyGaPb2
_cell_length_a 4.6580
_cell_length_b 4.6580
_cell_length_c 4.8128
_cell_angle_alpha 90.00
_cell_angle_beta 90.00
_cell_angle_gamma 90.00
_symmetry_space_group_name_H-M 'P 4/m m m'
_symmetry_Int_Tables_number 123
_symmetry_space_group_name_Hall '-P 4 2'
loop_
_atom_site_label
_atom_site_type_symbol
_atom_site_fract_x
_atom_site_fract_y
_atom_site_fract_z
Dy1 Dy 0.0000 0.0000 0.0000
Ga1 Ga 0.5000 0.5000 0.0000
Pb1 Pb 0.0000 0.5000 0.5000
```


# 7
DFT (PBE) results for a relaxed structure of Tb6NiSe5.

formation energy from raw total energies	-36.40	kcal/mol of atoms
N(E_F)	5.00	states/eV/f.u.
volume	24.30	Å³/atom

Cell and atoms, written as CIF:
```
data_Tb6NiSe5
_cell_length_a 7.1112
_cell_length_b 12.2937
_cell_length_c 7.0863
_cell_angle_alpha 90.00
_cell_angle_beta 109.73
_cell_angle_gamma 90.00
_symmetry_space_group_name_H-M 'C 1 2/m 1'
_symmetry_Int_Tables_number 12
loop_
_symmetry_equiv_pos_as_xyz
'x,y,z'
'-x,-y,-z'
'-x,y,-z'
'x,-y,z'
'x+1/2,y+1/2,z'
'-x+1/2,-y+1/2,-z'
'-x+1/2,y+1/2,-z'
'x+1/2,-y+1/2,z'
loop_
_atom_site_label
_atom_site_type_symbol
_atom_site_fract_x
_atom_site_fract_y
_atom_site_fract_z
Tb1 Tb 0.2333 0.1566 0.2346
Tb2 Tb 0.2338 0.0000 0.7595
Ni1 Ni 0.0000 0.0000 0.0000
Se1 Se 0.0000 0.1765 0.5000
Se2 Se 0.0000 0.3348 0.0000
Se3 Se 0.0000 0.5000 0.5000
```


# 8
DFT (PBE) results for a relaxed structure of Ba4Ac2O.

formation energy from raw total energies	-10.23	kcal/mol of atoms
N(E_F)	10.84	states/eV/f.u.
volume	44.62	Å³/atom

Cell and atoms, written as CIF:
```
data_Ba4Ac2O
_cell_length_a 5.3906
_cell_length_b 5.3906
_cell_length_c 21.4989
_cell_angle_alpha 90.00
_cell_angle_beta 90.00
_cell_angle_gamma 90.00
_symmetry_space_group_name_H-M 'I 4/m m m'
_symmetry_Int_Tables_number 139
_symmetry_space_group_name_Hall '-I 4 2'
loop_
_atom_site_label
_atom_site_type_symbol
_atom_site_fract_x
_atom_site_fract_y
_atom_site_fract_z
Ba1 Ba 0.0000 0.0000 0.1331
Ba2 Ba 0.0000 0.5000 0.0000
Ac1 Ac 0.0000 0.0000 0.3109
O1 O 0.0000 0.0000 0.0000
```


# 9
DFT (PBE) results for a relaxed structure of Tc2Os.

total energy	-29.1	eV for the cell shown
N(E_F)	4.89	states/eV/f.u.
volume	17.68	Å³/atom

Cell and atoms, written as CIF:
```
data_Tc2Os
_cell_length_a 4.4154
_cell_length_b 4.4154
_cell_length_c 2.7208
_cell_angle_alpha 90.00
_cell_angle_beta 90.00
_cell_angle_gamma 90.00
_symmetry_space_group_name_H-M 'P 4/m m m'
_symmetry_Int_Tables_number 123
_symmetry_space_group_name_Hall '-P 4 2'
loop_
_atom_site_label
_atom_site_type_symbol
_atom_site_fract_x
_atom_site_fract_y
_atom_site_fract_z
Tc1 Tc 0.0000 0.5000 0.0000
Os1 Os 0.0000 0.0000 0.5000
```


# 10
DFT (PBE) results for a relaxed structure of MgPaReRh.

total energy	-126.9	eV for the cell shown
N(E_F)	4.33	states/eV/f.u.
volume	18.24	Å³/atom

Cell and atoms, written as CIF:
```
data_MgPaReRh
_cell_length_a 6.6337
_cell_length_b 6.6337
_cell_length_c 6.6337
_cell_angle_alpha 90.00
_cell_angle_beta 90.00
_cell_angle_gamma 90.00
_symmetry_space_group_name_H-M 'F -4 3 m'
_symmetry_Int_Tables_number 216
_symmetry_space_group_name_Hall 'F -4 2 3'
loop_
_atom_site_label
_atom_site_type_symbol
_atom_site_fract_x
_atom_site_fract_y
_atom_site_fract_z
Mg1 Mg 0.0000 0.0000 0.0000
Pa1 Pa 0.0000 0.0000 0.5000
Re1 Re 0.2500 0.2500 0.7500
Rh1 Rh 0.2500 0.2500 0.2500
```


# 11
DFT (PBE) results for a relaxed structure of TaTi3Co.

total energy	-40.6	eV for the cell shown
N(E_F)	7.47	states/eV/f.u.
volume	17.65	Å³/atom

Cell and atoms, written as CIF:
```
data_TaTi3Co
_cell_length_a 4.4523
_cell_length_b 4.4523
_cell_length_c 4.4523
_cell_angle_alpha 90.00
_cell_angle_beta 90.00
_cell_angle_gamma 90.00
_symmetry_space_group_name_H-M 'P m -3 m'
_symmetry_Int_Tables_number 221
_symmetry_space_group_name_Hall '-P 4 2 3'
loop_
_atom_site_label
_atom_site_type_symbol
_atom_site_fract_x
_atom_site_fract_y
_atom_site_fract_z
Ta1 Ta 0.0000 0.0000 0.0000
Ti1 Ti 0.0000 0.5000 0.5000
Co1 Co 0.5000 0.5000 0.5000
```


# 12
DFT (PBE) results for a relaxed structure of PaHgRhO6.

formation energy from raw total energies	-36.33	kcal/mol of atoms
N(E_F)	7.17	states/eV/f.u.
volume	14.18	Å³/atom

Cell and atoms, written as CIF:
```
data_PaHgRhO6
_cell_length_a 5.5256
_cell_length_b 5.5256
_cell_length_c 9.6535
_cell_angle_alpha 90.00
_cell_angle_beta 90.00
_cell_angle_gamma 120.00
_symmetry_space_group_name_H-M 'P -3 1 c'
_symmetry_Int_Tables_number 163
_symmetry_space_group_name_Hall '-P 3 2c'
loop_
_atom_site_label
_atom_site_type_symbol
_atom_site_fract_x
_atom_site_fract_y
_atom_site_fract_z
Pa1 Pa 0.3333 0.6667 0.2500
Hg1 Hg 0.0000 0.0000 0.0000
Rh1 Rh 0.3333 0.6667 0.7500
O1 O 0.0221 0.3717 0.6365
```


The highest N(E_F) belongs to which entry?
Pr6Dy2Hg


Which value of volume does entry 7 give?
24.30 Å³/atom


volume of number 9 (Tc2Os)?
17.68 Å³/atom


N(E_F) of number 11 (TaTi3Co)?
7.47 states/eV/f.u.